Below is an optimized crystal structure of AsSeCl2, with properties calculated at the GGA-PBEsol level.

Unit cell a=3.9173 b=3.9173 c=6.8759 alpha=90.00 beta=90.00 gamma=90.00
With the nearest neighbours (Å) after each atom.
Space group P4mm (No. 99)
Asymmetric unit:
As: 0.0000 0.0000 0.0000  1 Cl 2.20
Se: 0.5000 0.5000 0.9782  1 Cl 2.21
Cl: 0.0000 0.0000 0.6800  1 As 2.20
Cl: 0.5000 0.5000 0.2993  1 Se 2.21

Values from the calculation:
Energy relative to the elements, uncorrected   -0.1830 eV/atom
Magnetic moment   0.00 μB per atom
Final energy   -13.704 eV/f.u.
Energy above the lowest structure with this stoichiometry   0 meV per atom

=====

Below is an optimized crystal structure of EuGa2Ge4, with properties calculated at the GGA-PBEsol level.

Unit cell a=4.1483 b=11.1058 c=13.0840 alpha=90.00 beta=90.00 gamma=90.00
With the nearest neighbours (Å) after each atom.
Space group Cmcm (No. 63)
Asymmetric unit:
Eu: 0.0000 0.2127 0.2500  10 Ge 3.31-3.43, 4 Ga 3.61
Ga: 0.0000 0.4785 0.5927  3 Ge 2.44-2.48, 1 Ga 2.47
Ge: 0.0000 0.0677 0.6559  2 Ga 2.44, 2 Ge 2.46-2.51
Ge: 0.0000 0.2599 0.5544  1 Ga 2.48, 3 Ge 2.51-2.53

Values from the calculation:
Energy of formation   -0.24 eV per atom
Magnetic moment   1.00 μB per atom
Final energy   -38.675 eV/f.u.

=====

Below is an optimized crystal structure of CrRuAu2, with properties calculated at the GGA-PBEsol level.

Unit cell a=3.3320 b=3.3320 c=5.5085 alpha=90.00 beta=90.00 gamma=90.00
With the nearest neighbours (Å) after each atom.
Space group P4/mmm (No. 123)
Asymmetric unit:
Cr: 0.0000 0.0000 0.0000  8 Au 2.72, 2 Ru 2.75
Ru: 0.0000 0.0000 0.5000  8 Au 2.74, 2 Cr 2.75
Au: 0.5000 0.5000 0.2452  2 Au 2.70-2.81, 4 Cr 2.72, 4 Ru 2.74

Values from the calculation:
Energy of formation   0.43 eV per atom
Magnetic moment   0.54 μB per atom
Final energy   -26.543 eV/f.u.
Energy above the lowest structure with this stoichiometry   208 meV per atom

=====

Below is an optimized crystal structure of Zr2ZnO2, with properties calculated at the GGA-PBEsol level.

Unit cell a=3.4843 b=3.4843 c=12.0956 alpha=90.00 beta=90.00 gamma=90.00
With the nearest neighbours (Å) after each atom.
Space group I4/mmm (No. 139)
Asymmetric unit:
Zr: 0.0000 0.0000 0.1497  4 O 2.12
Zn: 0.0000 0.0000 0.5000  8 Zr 3.06
O: 0.0000 0.5000 0.2500  4 Zr 2.12

Values from the calculation:
Energy relative to the elements, uncorrected   -2.0284 eV/atom
Magnetic moment   0.00 μB per atom
Final energy   -40.402 eV/f.u.